1.
Material: Li7VN4
Method: DFT, PBE-GGA
State: relaxed

The offset from the most stable computed form is 0 meV per atom. The total magnetization is 0.0 μB per formula unit. The uncorrected formation energy is -786 meV per atom. For the density of states at the Fermi level, the calculation gives 0.000 states/eV/atom.

a b c (Å): 9.603 9.603 9.603
angles (deg): 90.00 90.00 90.00
Atoms (fractional coordinates):
Li  0.864  0.380  0.396
Li  0.364  0.120  0.604
Li  0.136  0.880  0.104
Li  0.120  0.604  0.364
Li  0.104  0.136  0.880
Li  0.604  0.364  0.120
Li  0.380  0.396  0.864
Li  0.396  0.864  0.380
Li  0.880  0.104  0.136
Li  0.620  0.896  0.636
Li  0.896  0.636  0.620
Li  0.636  0.620  0.896
Li  0.136  0.620  0.604
Li  0.636  0.880  0.396
Li  0.864  0.120  0.896
Li  0.880  0.396  0.636
Li  0.896  0.864  0.120
Li  0.396  0.636  0.880
Li  0.620  0.604  0.136
Li  0.604  0.136  0.620
Li  0.120  0.896  0.864
Li  0.380  0.104  0.364
Li  0.104  0.364  0.380
Li  0.869  0.630  0.116
Li  0.364  0.380  0.104
Li  0.130  0.116  0.631
Li  0.370  0.884  0.131
Li  0.116  0.631  0.130
Li  0.131  0.370  0.884
Li  0.631  0.130  0.116
Li  0.384  0.369  0.630
Li  0.369  0.630  0.384
Li  0.884  0.131  0.370
Li  0.616  0.869  0.870
Li  0.869  0.870  0.616
Li  0.870  0.616  0.869
Li  0.370  0.616  0.631
Li  0.870  0.884  0.369
Li  0.630  0.116  0.869
Li  0.884  0.369  0.870
Li  0.133  0.133  0.133
Li  0.367  0.867  0.633
Li  0.633  0.367  0.867
Li  0.867  0.633  0.367
Li  0.867  0.867  0.867
Li  0.633  0.133  0.367
Li  0.367  0.633  0.133
Li  0.133  0.367  0.633
Li  0.130  0.384  0.131
Li  0.131  0.130  0.384
Li  0.384  0.131  0.130
Li  0.116  0.869  0.630
Li  0.631  0.370  0.616
Li  0.616  0.631  0.370
Li  0.369  0.870  0.884
Li  0.630  0.384  0.369
V  0.370  0.130  0.870
V  0.130  0.870  0.370
V  0.870  0.370  0.130
V  0.630  0.630  0.630
V  0.630  0.870  0.130
V  0.870  0.130  0.630
V  0.130  0.630  0.870
V  0.370  0.370  0.370
N  0.985  0.260  0.022
N  0.485  0.240  0.978
N  0.015  0.760  0.478
N  0.240  0.978  0.485
N  0.478  0.015  0.760
N  0.978  0.485  0.240
N  0.260  0.022  0.985
N  0.022  0.985  0.260
N  0.760  0.478  0.015
N  0.740  0.522  0.515
N  0.522  0.515  0.740
N  0.515  0.740  0.522
N  0.015  0.740  0.978
N  0.515  0.760  0.022
N  0.985  0.240  0.522
N  0.760  0.022  0.515
N  0.522  0.985  0.240
N  0.022  0.515  0.760
N  0.740  0.978  0.015
N  0.978  0.015  0.740
N  0.240  0.522  0.985
N  0.260  0.478  0.485
N  0.478  0.485  0.260
N  0.485  0.260  0.478
N  0.260  0.240  0.760
N  0.240  0.760  0.260
N  0.760  0.260  0.240
N  0.740  0.740  0.740
N  0.740  0.760  0.240
N  0.760  0.240  0.740
N  0.240  0.740  0.760
N  0.260  0.260  0.260



2.
Material: Li3VN2
Method: DFT, PBE-GGA
State: relaxed

The total magnetization is 0.0 μB per formula unit. The uncorrected formation energy is -416 meV per atom. For the density of states at the Fermi level, the calculation gives 0.326 states/eV/atom.

a b c (Å): 7.674 7.674 7.674
angles (deg): 123.99 123.99 83.22
Atoms (fractional coordinates):
Li  0.873  0.373  0.500
Li  0.877  0.877  0.000
Li  0.627  0.127  0.500
Li  0.123  0.123  0.000
Li  0.493  0.507  0.500
Li  0.007  0.993  0.500
Li  0.743  0.257  0.000
Li  0.257  0.743  0.000
Li  0.493  0.993  0.986
Li  0.007  0.507  0.014
Li  0.743  0.743  0.486
Li  0.257  0.257  0.514
V  0.116  0.616  0.500
V  0.634  0.634  0.000
V  0.384  0.884  0.500
V  0.366  0.366  0.000
N  0.035  0.733  0.699
N  0.035  0.336  0.301
N  0.715  0.914  0.199
N  0.715  0.517  0.801
N  0.267  0.965  0.301
N  0.664  0.965  0.699
N  0.086  0.285  0.801
N  0.483  0.285  0.199



3.
Material: Li3VN
Method: DFT, PBE-GGA
State: relaxed

The offset from the most stable computed form is 1458 meV per atom. The total magnetization is 6.1 μB per formula unit. The uncorrected formation energy is 1898 meV per atom. For the density of states at the Fermi level, the calculation gives 1.774 states/eV/atom.

a b c (Å): 5.060 5.060 5.060
angles (deg): 90.00 90.00 90.00
Last column: magnetic moment on the atom in μB.
Atoms (fractional coordinates):
V  0.000  0.000  0.000  3.33
Li  0.000  0.500  0.000  0.05
Li  0.000  0.000  0.500  0.05
Li  0.500  0.000  0.000  0.05
N  0.500  0.500  0.500  1.34



4.
Material: Li2V2N3
Method: DFT, PBE-GGA
State: relaxed

The total magnetization is 0.0 μB per formula unit. The uncorrected formation energy is -852 meV per atom. For the density of states at the Fermi level, the calculation gives 0.277 states/eV/atom.

a b c (Å): 3.352 4.974 5.730
angles (deg): 118.04 107.01 90.00
Atoms (fractional coordinates):
Li  0.415  0.632  0.829
Li  0.585  0.368  0.171
V  0.147  0.902  0.294
V  0.853  0.098  0.706
N  0.000  0.500  0.000
N  0.673  0.097  0.346
N  0.327  0.903  0.654



5.
Material: LiVN2
Method: DFT, PBE-GGA
State: relaxed

The offset from the most stable computed form is 360 meV per atom. The total magnetization is 0.0 μB per formula unit. The uncorrected formation energy is -480 meV per atom. For the density of states at the Fermi level, the calculation gives 0.214 states/eV/atom.

a b c (Å): 6.085 6.085 6.085
angles (deg): 27.67 27.67 27.67
Atoms (fractional coordinates):
V  0.500  0.500  0.500
Li  0.000  0.000  0.000
N  0.894  0.894  0.894
N  0.106  0.106  0.106



6.
Material: LiV3N
Method: DFT, PBE-GGA
State: relaxed

The offset from the most stable computed form is 0 meV per atom. The total magnetization is 0.0 μB per formula unit. The uncorrected formation energy is -289 meV per atom. For the density of states at the Fermi level, the calculation gives 1.043 states/eV/atom.

a b c (Å): 3.938 3.938 3.938
angles (deg): 90.00 90.00 90.00
Atoms (fractional coordinates):
V  0.000  0.500  0.000
V  0.000  0.000  0.500
V  0.500  0.000  0.000
Li  0.500  0.500  0.500
N  0.000  0.000  0.000



7.
Material: LiV2N
Method: DFT, PBE-GGA
State: relaxed

The total magnetization is 0.0 μB per formula unit. The uncorrected formation energy is -163 meV per atom. For the density of states at the Fermi level, the calculation gives 0.909 states/eV/atom.

a b c (Å): 6.999 6.999 5.290
angles (deg): 48.58 48.58 90.00
Atoms (fractional coordinates):
V  0.759  0.125  0.250
V  0.991  0.625  0.250
V  0.375  0.241  0.750
V  0.875  0.009  0.750
Li  0.500  0.500  0.000
Li  0.250  0.750  0.500
N  0.000  0.000  0.000
N  0.750  0.250  0.500



8.
Material: Li5V3N12
Method: DFT, PBE-GGA
State: relaxed

The total magnetization is 0.0 μB per formula unit. The uncorrected formation energy is -180 meV per atom. For the density of states at the Fermi level, the calculation gives 0.164 states/eV/atom.

a b c (Å): 10.500 10.500 10.500
angles (deg): 109.47 109.47 109.47
Atoms (fractional coordinates):
V  0.750  0.375  0.125
V  0.875  0.750  0.125
V  0.375  0.750  0.625
V  0.250  0.125  0.375
V  0.875  0.125  0.250
V  0.375  0.625  0.250
V  0.625  0.375  0.750
V  0.125  0.875  0.750
V  0.750  0.875  0.625
V  0.625  0.250  0.375
V  0.125  0.250  0.875
V  0.250  0.625  0.875
Li  0.125  0.375  0.250
Li  0.000  0.500  0.000
Li  0.000  0.000  0.000
Li  0.375  0.250  0.125
Li  0.500  0.000  0.500
Li  0.500  0.500  0.000
Li  0.125  0.750  0.375
Li  0.750  0.125  0.875
Li  0.750  0.625  0.375
Li  0.375  0.125  0.750
Li  0.625  0.875  0.250
Li  0.500  0.500  0.500
Li  0.500  0.000  0.000
Li  0.000  0.000  0.500
Li  0.250  0.375  0.625
Li  0.250  0.875  0.125
Li  0.000  0.500  0.500
Li  0.875  0.250  0.625
Li  0.625  0.750  0.875
Li  0.875  0.625  0.750
N  0.790  0.179  0.095
N  0.306  0.595  0.416
N  0.905  0.321  0.210
N  0.595  0.290  0.179
N  0.611  0.790  0.694
N  0.905  0.584  0.194
N  0.306  0.710  0.389
N  0.084  0.889  0.179
N  0.584  0.905  0.694
N  0.790  0.611  0.194
N  0.710  0.405  0.321
N  0.806  0.916  0.095
N  0.179  0.790  0.595
N  0.321  0.416  0.111
N  0.111  0.916  0.321
N  0.389  0.179  0.584
N  0.111  0.194  0.290
N  0.405  0.694  0.084
N  0.806  0.889  0.210
N  0.179  0.389  0.084
N  0.321  0.905  0.710
N  0.584  0.679  0.389
N  0.916  0.806  0.595
N  0.710  0.306  0.889
N  0.416  0.321  0.611
N  0.084  0.194  0.405
N  0.290  0.694  0.111
N  0.194  0.111  0.790
N  0.679  0.095  0.290
N  0.821  0.611  0.916
N  0.595  0.306  0.916
N  0.611  0.821  0.416
N  0.889  0.806  0.710
N  0.889  0.084  0.679
N  0.821  0.210  0.405
N  0.194  0.084  0.905
N  0.679  0.584  0.889
N  0.416  0.095  0.306
N  0.210  0.389  0.806
N  0.290  0.595  0.679
N  0.916  0.111  0.821
N  0.694  0.290  0.611
N  0.405  0.710  0.821
N  0.095  0.416  0.806
N  0.389  0.210  0.306
N  0.095  0.679  0.790
N  0.694  0.405  0.584
N  0.210  0.821  0.905



9.
Material: Li3VN
Method: DFT, PBE-GGA
State: relaxed

The offset from the most stable computed form is 0 meV per atom. The total magnetization is 4.2 μB per formula unit. The uncorrected formation energy is 440 meV per atom. For the density of states at the Fermi level, the calculation gives 1.114 states/eV/atom.

a b c (Å): 4.005 4.005 4.005
angles (deg): 90.00 90.00 90.00
Last column: magnetic moment on the atom in μB.
Atoms (fractional coordinates):
V  0.500  0.500  0.500  3.11
Li  0.000  0.500  0.000  0.05
Li  0.000  0.000  0.500  0.05
Li  0.500  0.000  0.000  0.05
N  0.000  0.000  0.000  -0.01



10.
Material: LiVN2
Method: DFT, PBE-GGA
State: relaxed

The offset from the most stable computed form is 847 meV per atom. The total magnetization is 0.5 μB per formula unit. The uncorrected formation energy is 7 meV per atom. For the density of states at the Fermi level, the calculation gives 0.805 states/eV/atom.

a b c (Å): 3.551 3.551 3.551
angles (deg): 60.00 60.00 60.00
Last column: magnetic moment on the atom in μB.
Atoms (fractional coordinates):
V  0.500  0.500  0.500  0.92
Li  0.000  0.000  0.000  0.01
N  0.250  0.250  0.250  -0.20
N  0.750  0.750  0.750  -0.20



11.
Material: LiVN3
Method: DFT, PBE-GGA
State: relaxed

The total magnetization is 1.2 μB per formula unit. The uncorrected formation energy is 327 meV per atom. For the density of states at the Fermi level, the calculation gives 0.467 states/eV/atom.

a b c (Å): 3.814 3.814 3.814
angles (deg): 90.00 90.00 90.00
Last column: magnetic moment on the atom in μB.
Atoms (fractional coordinates):
V  0.000  0.000  0.000  -0.23
Li  0.500  0.500  0.500  0.00
N  0.000  0.500  0.000  0.35
N  0.000  0.000  0.500  0.35
N  0.500  0.000  0.000  0.35



12.
Material: Li2V3WN6
Method: DFT, PBE-GGA
State: relaxed

The total magnetization is 0.0 μB per formula unit. The uncorrected formation energy is -891 meV per atom. For the density of states at the Fermi level, the calculation gives 0.369 states/eV/atom.

a b c (Å): 5.024 5.024 5.074
angles (deg): 99.17 99.17 120.12
Atoms (fractional coordinates):
Li  0.337  0.663  0.000
Li  0.663  0.337  0.000
V  0.183  0.817  0.500
V  0.817  0.183  0.500
V  0.500  0.500  0.500
W  0.000  0.000  0.000
N  0.914  0.583  0.748
N  0.761  0.761  0.268
N  0.086  0.417  0.252
N  0.583  0.914  0.748
N  0.239  0.239  0.732
N  0.417  0.086  0.252



13.
Material: LiVZn2N4
Method: DFT, PBE-GGA
State: relaxed

The total magnetization is 0.0 μB per formula unit. The uncorrected formation energy is -76 meV per atom. For the density of states at the Fermi level, the calculation gives 0.598 states/eV/atom.

a b c (Å): 4.269 5.902 7.113
angles (deg): 90.00 90.00 90.00
Atoms (fractional coordinates):
Li  0.936  0.174  0.500
Li  0.436  0.826  0.000
V  0.491  0.827  0.500
V  0.991  0.173  0.000
Zn  0.437  0.323  0.265
Zn  0.437  0.323  0.735
Zn  0.937  0.677  0.765
Zn  0.937  0.677  0.235
N  0.416  0.182  0.000
N  0.916  0.818  0.500
N  0.430  0.135  0.500
N  0.930  0.865  0.000
N  0.426  0.673  0.725
N  0.926  0.327  0.225
N  0.926  0.327  0.775
N  0.426  0.673  0.275



14.
Material: Li3W2N4
Method: DFT, PBE-GGA
State: relaxed

The total magnetization is 0.0 μB per formula unit. The uncorrected formation energy is -476 meV per atom. For the density of states at the Fermi level, the calculation gives 0.491 states/eV/atom.

a b c (Å): 2.937 5.518 6.582
angles (deg): 79.79 77.11 74.57
Atoms (fractional coordinates):
Li  0.629  0.607  0.136
Li  0.000  0.500  0.500
Li  0.371  0.393  0.864
W  0.790  0.098  0.322
W  0.210  0.902  0.678
N  0.752  0.683  0.813
N  0.593  0.200  0.613
N  0.407  0.800  0.387
N  0.248  0.317  0.187



15.
Material: LiWN2
Method: DFT, PBE-GGA
State: relaxed

The offset from the most stable computed form is 0 meV per atom. The total magnetization is 0.0 μB per formula unit. The uncorrected formation energy is -522 meV per atom. For the density of states at the Fermi level, the calculation gives 0.587 states/eV/atom.

a b c (Å): 2.975 2.975 5.466
angles (deg): 74.21 74.21 60.00
Atoms (fractional coordinates):
Li  0.500  0.500  0.500
W  0.000  0.000  0.000
N  0.257  0.257  0.230
N  0.743  0.743  0.770



16.
Material: LiWN2
Method: DFT, PBE-GGA
State: relaxed

The offset from the most stable computed form is 46 meV per atom. The total magnetization is 0.0 μB per formula unit. The uncorrected formation energy is -476 meV per atom. For the density of states at the Fermi level, the calculation gives 0.468 states/eV/atom.

a b c (Å): 2.962 2.962 5.652
angles (deg): 74.81 74.81 60.00
Atoms (fractional coordinates):
Li  0.495  0.495  0.516
W  0.668  0.668  0.995
N  0.076  0.076  0.771
N  0.261  0.261  0.217